Entry 1:
The following is a DFT calculation (PBE) of a relaxed structure of CsYGe2Br8.

abc: 6.694 7.419 10.322
angles: 93.91 92.76 96.95
Fractional positions:
Cs 0.000 0.000 0.000
Y 0.000 0.000 0.500
Ge 0.443 0.560 0.304
Ge 0.557 0.440 0.696
Br 0.217 0.690 0.476
Br 0.227 0.178 0.319
Br 0.255 0.603 0.102
Br 0.279 0.135 0.711
Br 0.721 0.865 0.289
Br 0.745 0.397 0.898
Br 0.773 0.822 0.681
Br 0.783 0.310 0.524

Output
calculated density: 3.3 Mg/m³
raw formation energy: -1.18 eV/atom
calculated volume: 507 Å³ per cell

***

Entry 2:
The following is a DFT calculation (PBE) of a relaxed structure of Ca2LaSc.

abc: 6.332 6.332 6.446
angles: 100.57 100.57 33.71
Fractional positions:
Ca 0.000 0.000 0.000
Ca 0.241 0.241 0.749
La 0.480 0.480 0.468
Sc 0.747 0.747 0.265

Output
excess energy over the best structure of this formula in the dataset: 91 meV/atom
calculated density: 3.1 Mg/m³
formation energy from the elements: 16.74 kJ/mol of atoms
calculated volume: 141 Å³ per cell

***

Question: What is the calculated volume in the first record?
Answer: 507 Å³ per cell

***

Question: The lowest calculated volume belongs to which entry?
Answer: Ca2LaSc

***

Question: Number 2 is which compound?
Answer: Ca2LaSc

***

Question: Among the records above, which one has the lowest calculated volume?
Answer: Ca2LaSc